This record from the Alexandria database describes crystalline PmPr15Tm4 at its relaxed geometry. The functional is PBE.

Values from the calculation:
VASP energy   -94.1 eV for the cell shown

Lattice parameters (Å, degrees): 5.1886 5.1886 25.8501 90.00 90.00 90.00
With the nearest neighbours (Å) after each atom.
Fractional positions:
Pr1 0.5000 0.5000 0.5996  8 Pr 3.65, 4 Tm 3.67
Pr2 0.5000 0.0000 0.3009  8 Pr 3.65-3.67, 4 Tm 3.65
Pr3 0.5000 0.5000 0.0000  4 Pm 3.67, 8 Pr 3.69
Pr4 0.5000 0.5000 0.2017  8 Pr 3.65-3.66, 4 Tm 3.67
Pr5 0.5000 0.0000 0.5000  4 Tm 3.65, 8 Pr 3.65-3.67
Pr6 0.0000 0.5000 0.1017  2 Tm 3.66, 8 Pr 3.66-3.69, 2 Pm 3.69
Pr7 0.0000 0.5000 0.8983  2 Tm 3.66, 8 Pr 3.66-3.69, 2 Pm 3.69
Pr8 0.5000 0.0000 0.8983  2 Tm 3.66, 8 Pr 3.66-3.69, 2 Pm 3.69
Pr9 0.0000 0.5000 0.3009  8 Pr 3.65-3.67, 4 Tm 3.65
Pr10 0.5000 0.0000 0.6991  8 Pr 3.65-3.67, 4 Tm 3.65
Pr11 0.0000 0.5000 0.5000  4 Tm 3.65, 8 Pr 3.65-3.67
Pr12 0.0000 0.5000 0.6991  8 Pr 3.65-3.67, 4 Tm 3.65
Pr13 0.5000 0.5000 0.4004  8 Pr 3.65, 4 Tm 3.67
Pr14 0.5000 0.5000 0.7983  8 Pr 3.65-3.66, 4 Tm 3.67
Pr15 0.5000 0.0000 0.1017  2 Tm 3.66, 8 Pr 3.66-3.69, 2 Pm 3.69
Tm1 0.0000 0.0000 0.2014  12 Pr 3.65-3.67
Tm2 0.0000 0.0000 0.7986  12 Pr 3.65-3.67
Tm3 0.0000 0.0000 0.5996  12 Pr 3.65-3.67
Tm4 0.0000 0.0000 0.4004  12 Pr 3.65-3.67
Pm1 0.0000 0.0000 0.0000  12 Pr 3.67-3.69